Compound: La2TlHg
Source: the Alexandria database
Functional: PBEsol
Structure: relaxed

Lattice parameters (Å, degrees): 5.4775 5.4775 3.8832 90.00 90.00 90.00
Closest atoms and distances in Å follow each position.
Sites, in units of the cell vectors:
La 0.0000 0.5000 0.0000  4 Hg 3.36, 4 Tl 3.36
La 0.5000 0.0000 0.0000  4 Hg 3.36, 4 Tl 3.36
Tl 0.0000 0.0000 0.5000  8 La 3.36
Hg 0.5000 0.5000 0.5000  8 La 3.36

Properties
ρ, kg/m3: 9731
D(E_F), states/eV/cell: 5.76
Spin magnetization, Bohr magnetons per cell: 0.52
Calculated formation energy, meV/atom: -493
Electronic total energy, eV/atom: -3.9657